# 1
LiMg3F, optimized geometry, DFT PBE-GGA; E = -8.97 eV for the cell shown; space-group type = Pm-3m (221)
1.0
4.978 0.000 0.000
0.000 4.978 0.000
0.000 0.000 4.978
Li Mg F
1 3 1
Direct
0.000 0.000 0.000
0.000 0.000 0.500
0.000 0.500 0.000
0.500 0.000 0.000
0.500 0.500 0.500

---

# 2
Cs2MnH6, optimized geometry, DFT PBE-GGA; E = -29.85 eV for the cell shown; space-group type = Amm2 (38)
1.0
3.289 0.000 0.000
0.000 5.668 3.255
0.000 -5.668 3.255
Cs Mn H
2 1 6
Direct
0.000 0.167 0.833
0.000 0.833 0.167
0.500 0.500 0.500
0.000 0.354 0.500
0.000 0.500 0.354
0.000 0.649 0.649
0.500 0.246 0.246
0.500 0.494 0.751
0.500 0.751 0.494

---

# 3
Pr2Sm5Mg, optimized geometry, DFT PBE-GGA; ΔE_f = 0.08 eV/atom; E = -68.20 eV for the cell shown; space-group type = Cmcm (63)
1.0
2.800 -5.968 0.000
2.800 5.968 0.000
0.000 0.000 16.175
Pr Sm Mg
4 10 2
Direct
0.219 0.781 0.637
0.219 0.781 0.863
0.781 0.219 0.137
0.781 0.219 0.363
0.081 0.919 0.089
0.081 0.919 0.411
0.391 0.609 0.055
0.391 0.609 0.445
0.481 0.519 0.750
0.519 0.481 0.250
0.609 0.391 0.555
0.609 0.391 0.945
0.919 0.081 0.589
0.919 0.081 0.911
0.244 0.756 0.250
0.756 0.244 0.750

---

# 4
SrSbIr2, optimized geometry, DFT PBE-GGA; E = -45.00 eV for the cell shown; space-group type = I-42d (122)
1.0
-3.846 3.846 3.196
3.846 -3.846 3.196
3.846 3.846 -3.196
Sr Sb Ir
2 2 4
Direct
0.000 0.000 0.000
0.750 0.250 0.500
0.250 0.750 0.500
0.500 0.500 0.000
0.186 0.125 0.561
0.375 0.814 0.939
0.564 0.625 0.439
0.875 0.436 0.061

---

# 5
K2PmTlBr6, optimized geometry, DFT PBE-GGA; E = -71.60 eV for the cell shown; space-group type = P2_1/c (14)
1.0
7.905 0.000 0.000
0.000 8.527 0.000
-7.683 0.000 11.504
K Pm Tl Br
4 2 2 12
Direct
0.212 0.085 0.246
0.212 0.415 0.746
0.788 0.585 0.254
0.788 0.915 0.754
0.500 0.000 0.000
0.500 0.500 0.500
0.000 0.000 0.500
0.000 0.500 0.000
0.141 0.175 0.937
0.141 0.325 0.437
0.260 0.715 0.922
0.260 0.785 0.422
0.409 0.057 0.770
0.409 0.443 0.270
0.591 0.557 0.730
0.591 0.943 0.230
0.740 0.215 0.578
0.740 0.285 0.078
0.859 0.675 0.563
0.859 0.825 0.063

---

# 6
GeS2ClF, optimized geometry, DFT PBE-GGA; E = -15.05 eV for the cell shown; space-group type = P4/mmm (123)
1.0
4.749 0.000 0.000
0.000 4.749 0.000
0.000 0.000 4.809
Ge S Cl F
1 2 1 1
Direct
0.000 0.000 0.000
0.000 0.500 0.000
0.500 0.000 0.000
0.000 0.000 0.500
0.500 0.500 0.500

---

# 7
Ac2YPd9, optimized geometry, DFT PBE-GGA; ΔE_f = -0.76 eV/atom; E = -70.51 eV for the cell shown; space-group type = P4/mmm (123)
1.0
4.269 0.000 0.000
0.000 4.269 0.000
0.000 0.000 12.696
Ac Y Pd
2 1 9
Direct
0.000 0.000 0.172
0.000 0.000 0.828
0.000 0.000 0.500
0.000 0.500 0.000
0.000 0.500 0.343
0.000 0.500 0.657
0.500 0.000 0.000
0.500 0.000 0.343
0.500 0.000 0.657
0.500 0.500 0.172
0.500 0.500 0.500
0.500 0.500 0.828

---

# 8
NaInAg4, optimized geometry, DFT PBE-GGA; ΔE_f = 0.06 eV/atom; E = -30.20 eV for the cell shown; space-group type = Pmma (51)
1.0
8.356 0.000 0.000
0.000 4.140 0.000
0.000 0.000 7.408
Na In Ag
2 2 8
Direct
0.250 0.000 0.163
0.750 0.000 0.837
0.250 0.000 0.761
0.750 0.000 0.239
0.000 0.000 0.500
0.020 0.500 0.805
0.250 0.500 0.465
0.480 0.500 0.805
0.500 0.000 0.500
0.520 0.500 0.195
0.750 0.500 0.535
0.980 0.500 0.195

---

# 9
CaNd3Ho, optimized geometry, DFT PBE-GGA; ΔE_f = 0.36 eV/atom; E = -38.14 eV for the cell shown; space-group type = R-3 (148)
1.0
3.112 1.797 11.791
-3.112 1.797 11.791
0.000 -3.593 11.791
Ca Nd Ho
2 6 2
Direct
0.167 0.167 0.167
0.833 0.833 0.833
0.082 0.403 0.749
0.251 0.918 0.597
0.403 0.749 0.082
0.597 0.251 0.918
0.749 0.082 0.403
0.918 0.597 0.251
0.334 0.334 0.334
0.666 0.666 0.666

---

# 10
Nd2Er4Tm7, optimized geometry, DFT PBE-GGA; ΔE_f = 0.15 eV/atom; E = -57.12 eV for the cell shown; space-group type = P-1 (2)
1.0
6.282 0.000 0.000
3.140 5.613 0.000
0.582 0.009 11.645
Nd Er Tm
2 4 7
Direct
0.163 0.175 0.000
0.837 0.825 0.000
0.224 0.052 0.500
0.291 0.500 0.441
0.709 0.500 0.559
0.776 0.948 0.500
0.136 0.862 0.234
0.184 0.500 0.736
0.498 0.138 0.234
0.500 0.500 0.000
0.502 0.862 0.766
0.816 0.500 0.264
0.864 0.138 0.766

---

# 11
PrPu2Ga, optimized geometry, DFT PBE-GGA; ΔE_f = -0.12 eV/atom; E = -36.95 eV for the cell shown; space-group type = P4/mmm (123)
1.0
4.500 0.000 0.000
0.000 4.500 0.000
0.000 0.000 5.089
Pr Pu Ga
1 2 1
Direct
0.000 0.000 0.000
0.000 0.500 0.500
0.500 0.000 0.500
0.500 0.500 0.000

---

# 12
RbPtCl, optimized geometry, DFT PBE-GGA; E = -22.02 eV for the cell shown; space-group type = Cm (8)
1.0
5.974 -1.890 0.000
5.974 1.890 0.000
-4.232 0.000 8.553
Rb Pt Cl
2 2 2
Direct
0.000 0.000 0.000
0.062 0.062 0.469
0.282 0.282 0.315
0.811 0.811 0.511
0.356 0.356 0.704
0.766 0.766 0.127

---

# 13
NaNdAg2I6, optimized geometry, DFT PBE-GGA; E = -29.87 eV for the cell shown; space-group type = R-3 (148)
1.0
3.971 2.292 7.531
-3.971 2.292 7.531
0.000 -4.585 7.531
Na Nd Ag I
1 1 2 6
Direct
0.000 0.000 0.000
0.500 0.500 0.500
0.242 0.242 0.242
0.758 0.758 0.758
0.105 0.745 0.406
0.255 0.594 0.895
0.406 0.105 0.745
0.594 0.895 0.255
0.745 0.406 0.105
0.895 0.255 0.594

---

# 14
TaCd2Ru, optimized geometry, DFT PBE-GGA; ΔE_f = 0.31 eV/atom; E = -21.70 eV for the cell shown; space-group type = I4/mmm (139)
1.0
-1.968 1.968 4.633
1.968 -1.968 4.633
1.968 1.968 -4.633
Ta Cd Ru
1 2 1
Direct
0.000 0.000 0.000
0.250 0.750 0.500
0.750 0.250 0.500
0.500 0.500 0.000

---

# 15
InSn4Pb15, optimized geometry, DFT PBE-GGA; ΔE_f = 0.05 eV/atom; E = -73.35 eV for the cell shown; space-group type = P4/mmm (123)
1.0
5.999 0.000 0.000
0.000 5.999 0.000
0.000 0.000 17.188
In Sn Pb
1 4 15
Direct
0.000 0.000 0.000
0.000 0.000 0.197
0.000 0.000 0.397
0.000 0.000 0.603
0.000 0.000 0.803
0.000 0.500 0.102
0.000 0.500 0.300
0.000 0.500 0.500
0.000 0.500 0.700
0.000 0.500 0.898
0.500 0.000 0.102
0.500 0.000 0.300
0.500 0.000 0.500
0.500 0.000 0.700
0.500 0.000 0.898
0.500 0.500 0.000
0.500 0.500 0.200
0.500 0.500 0.400
0.500 0.500 0.600
0.500 0.500 0.800

---

# 16
Zn2ClO, optimized geometry, DFT PBE-GGA; E = -9.50 eV for the cell shown; space-group type = Fm-3m (225)
1.0
0.000 3.043 3.043
3.043 0.000 3.043
3.043 3.043 0.000
Zn Cl O
2 1 1
Direct
0.250 0.250 0.250
0.750 0.750 0.750
0.000 0.000 0.000
0.500 0.500 0.500

---

# 17
CeDyAgBi, optimized geometry, DFT PBE-GGA; ΔE_f = -0.38 eV/atom; E = -18.78 eV for the cell shown; space-group type = F-43m (216)
1.0
0.000 3.806 3.806
3.806 0.000 3.806
3.806 3.806 0.000
Ce Dy Ag Bi
1 1 1 1
Direct
0.000 0.000 0.000
0.500 0.500 0.500
0.250 0.250 0.250
0.750 0.750 0.750

---

# 18
TcPBr2, optimized geometry, DFT PBE-GGA; E = -18.84 eV for the cell shown; space-group type = R3m (160)
1.0
1.659 0.958 9.201
-1.659 0.958 9.201
0.000 -1.916 9.201
Tc P Br
1 1 2
Direct
0.000 0.000 0.000
0.716 0.716 0.716
0.263 0.263 0.263
0.458 0.458 0.458

---

# 19
NaSn5S6, optimized geometry, DFT PBE-GGA; E = -52.25 eV for the cell shown; space-group type = C2/m (12)
1.0
3.542 -6.100 0.000
3.542 6.100 0.000
-2.320 0.000 6.695
Na Sn S
1 5 6
Direct
0.000 0.000 0.000
0.166 0.834 0.500
0.336 0.664 0.000
0.500 0.500 0.500
0.664 0.336 0.000
0.834 0.166 0.500
0.088 0.427 0.256
0.263 0.263 0.763
0.427 0.088 0.256
0.573 0.912 0.744
0.737 0.737 0.237
0.912 0.573 0.744

---

# 20
LaTbPI, optimized geometry, DFT PBE-GGA; E = -22.07 eV for the cell shown; space-group type = R3m (160)
1.0
2.080 1.201 7.731
-2.080 1.201 7.731
0.000 -2.402 7.731
La Tb P I
1 1 1 1
Direct
0.000 0.000 0.000
0.795 0.795 0.795
0.404 0.404 0.404
0.225 0.225 0.225